[1]
## Ta2FeSb (PBE)

Data for a relaxed Ta2FeSb crystal.

Values from the calculation:
E_tot in Ry per atom: -0.6225
Space-group type: No. 122
Energy relative to the elements, uncorrected in meV per atom: 603

a b c (Å): 3.8844 3.8844 19.5679
angles (deg): 90.00 90.00 90.00
Closest atoms and distances in Å follow each position.
Sites, in units of the cell vectors:
Ta 0.2485 0.2500 0.1250  4 Ta 2.74-2.75, 2 Fe 2.80, 2 Sb 2.81
Ta 0.2500 0.7485 0.3750  4 Ta 2.74-2.75, 2 Fe 2.80, 2 Sb 2.81
Ta 0.2500 0.7515 0.8750  4 Ta 2.74-2.75, 2 Fe 2.80, 2 Sb 2.81
Ta 0.2515 0.2500 0.6250  4 Ta 2.74-2.75, 2 Fe 2.80, 2 Sb 2.81
Ta 0.7485 0.7500 0.6250  4 Ta 2.74-2.75, 2 Fe 2.80, 2 Sb 2.81
Ta 0.7500 0.2485 0.8750  4 Ta 2.74-2.75, 2 Fe 2.80, 2 Sb 2.81
Ta 0.7500 0.2515 0.3750  4 Ta 2.74-2.75, 2 Fe 2.80, 2 Sb 2.81
Ta 0.7515 0.7500 0.1250  4 Ta 2.74-2.75, 2 Fe 2.80, 2 Sb 2.81
Fe 0.0000 0.0000 0.0000  4 Sb 2.75, 4 Ta 2.80
Fe 0.0000 0.5000 0.2500  4 Sb 2.75, 4 Ta 2.80
Fe 0.5000 0.0000 0.7500  4 Sb 2.75, 4 Ta 2.80
Fe 0.5000 0.5000 0.5000  4 Sb 2.75, 4 Ta 2.80
Sb 0.0000 0.0000 0.5000  4 Fe 2.75, 4 Ta 2.81
Sb 0.0000 0.5000 0.7500  4 Fe 2.75, 4 Ta 2.81
Sb 0.5000 0.0000 0.2500  4 Fe 2.75, 4 Ta 2.81
Sb 0.5000 0.5000 0.0000  4 Fe 2.75, 4 Ta 2.81

[2]
## Co (PBE)

Data for a relaxed Co crystal.

Values from the calculation:
E_tot in Ry per atom: -0.4280
Space-group type: No. 227
DFT formation energy in eV per formula unit: 1.28

a b c (Å): 5.0806 5.0806 5.0806
angles (deg): 90.00 90.00 90.00
Closest atoms and distances in Å follow each position.
Sites, in units of the cell vectors:
Co 0.1250 0.1250 0.1250  4 Co 2.20
Co 0.1250 0.6250 0.6250  4 Co 2.20
Co 0.3750 0.3750 0.8750  4 Co 2.20
Co 0.3750 0.8750 0.3750  4 Co 2.20
Co 0.6250 0.1250 0.6250  4 Co 2.20
Co 0.6250 0.6250 0.1250  4 Co 2.20
Co 0.8750 0.3750 0.3750  4 Co 2.20
Co 0.8750 0.8750 0.8750  4 Co 2.20

[3]
## BePdN (PBE)

Data for a relaxed BePdN crystal.

Values from the calculation:
E_tot in Ry per atom: -0.4369
Space-group type: No. 12
Energy relative to the elements, uncorrected in meV per atom: -197

a b c (Å): 12.5729 2.8598 3.8149
angles (deg): 90.00 103.62 90.00
Closest atoms and distances in Å follow each position.
Sites, in units of the cell vectors:
Be 0.1198 0.0000 0.1477  2 N 1.64
Be 0.3802 0.5000 0.8523  2 N 1.64
Be 0.6198 0.5000 0.1477  2 N 1.64
Be 0.8802 0.0000 0.8523  2 N 1.64
Pd 0.1863 0.5000 0.6977  5 Be 2.37-2.52, 2 N 2.40-2.58
Pd 0.3137 0.0000 0.3023  5 Be 2.37-2.52, 2 N 2.40-2.58
Pd 0.6863 0.0000 0.6977  5 Be 2.37-2.52, 2 N 2.40-2.58
Pd 0.8137 0.5000 0.3023  5 Be 2.37-2.52, 2 N 2.40-2.58
N 0.0555 0.5000 0.0644  1 N 1.37
N 0.4445 0.0000 0.9356  1 N 1.37
N 0.5555 0.0000 0.0644  1 N 1.37
N 0.9445 0.5000 0.9356  1 N 1.37

[4]
## SrReAg2 (PBE)

Data for a relaxed SrReAg2 crystal.

Values from the calculation:
E_tot in Ry per atom: -0.3138
Space-group type: No. 6
DFT formation energy in eV per formula unit: 2.75

a b c (Å): 2.8291 4.8603 6.0547
angles (deg): 90.00 103.27 90.00
Closest atoms and distances in Å follow each position.
Sites, in units of the cell vectors:
Sr 0.0000 0.0000 0.0000  2 Sr 2.83, 1 Ag 2.88
Re 0.3292 0.5000 0.6735  2 Re 2.83, 6 Ag 2.88-2.99
Ag 0.6212 0.5000 0.2484  4 Ag 2.83-2.88, 2 Re 2.88
Ag 0.7368 0.0000 0.5119  4 Ag 2.83-2.88, 1 Sr 2.88, 4 Re 2.95-2.99

[5]
## Nb2ZnRh9 (PBE)

Data for a relaxed Nb2ZnRh9 crystal.

Values from the calculation:
E_tot in Ry per atom: -0.5656
Space-group type: No. 123
DFT formation energy in eV per formula unit: -4.77

a b c (Å): 3.8921 3.8921 11.6165
angles (deg): 90.00 90.00 90.00
Closest atoms and distances in Å follow each position.
Sites, in units of the cell vectors:
Nb 0.0000 0.0000 0.1724  12 Rh 2.70-2.79
Nb 0.0000 0.0000 0.8276  12 Rh 2.70-2.79
Zn 0.0000 0.0000 0.5000  12 Rh 2.74-2.75
Rh 0.0000 0.5000 0.0000  8 Rh 2.74-2.75, 4 Nb 2.79
Rh 0.0000 0.5000 0.3339  2 Nb 2.70, 8 Rh 2.74-2.75, 2 Zn 2.74
Rh 0.0000 0.5000 0.6661  2 Nb 2.70, 8 Rh 2.74-2.75, 2 Zn 2.74
Rh 0.5000 0.0000 0.0000  8 Rh 2.74-2.75, 4 Nb 2.79
Rh 0.5000 0.0000 0.3339  2 Nb 2.70, 8 Rh 2.74-2.75, 2 Zn 2.74
Rh 0.5000 0.0000 0.6661  2 Nb 2.70, 8 Rh 2.74-2.75, 2 Zn 2.74
Rh 0.5000 0.5000 0.1664  8 Rh 2.74-2.75, 4 Nb 2.75
Rh 0.5000 0.5000 0.5000  8 Rh 2.74, 4 Zn 2.75
Rh 0.5000 0.5000 0.8336  8 Rh 2.74-2.75, 4 Nb 2.75

[6]
## Ba2CdIrBr (PBE)

Data for a relaxed Ba2CdIrBr crystal.

Values from the calculation:
E_tot in Ry per atom: -0.2716
Space-group type: No. 123
Energy relative to the elements, uncorrected in meV per atom: -636

a b c (Å): 6.0317 6.0317 5.2329
angles (deg): 90.00 90.00 90.00
Closest atoms and distances in Å follow each position.
Sites, in units of the cell vectors:
Ba 0.0000 0.5000 0.0000  2 Ir 3.02
Ba 0.5000 0.0000 0.0000  2 Ir 3.02
Cd 0.0000 0.0000 0.5000  2 Ir 2.62
Ir 0.0000 0.0000 0.0000  2 Cd 2.62
Br 0.5000 0.5000 0.5000  8 Ba 3.99, 4 Cd 4.27

[7]
## BaSm4Se5 (PBE)

Data for a relaxed BaSm4Se5 crystal.

Values from the calculation:
E_tot in Ry per atom: -0.4155
Space-group type: No. 12
Energy relative to the elements, uncorrected in meV per atom: -1832

a b c (Å): 7.4300 7.4300 10.4954
angles (deg): 118.34 118.34 33.09
Closest atoms and distances in Å follow each position.
Sites, in units of the cell vectors:
Ba 0.0000 0.0000 0.0000  6 Se 3.15-3.19
Sm 0.1985 0.1985 0.7829  6 Se 2.92-3.10
Sm 0.4068 0.4068 0.5990  6 Se 2.94-3.05
Sm 0.5932 0.5932 0.4010  6 Se 2.94-3.05
Sm 0.8015 0.8015 0.2171  6 Se 2.92-3.10
Se 0.0000 0.0000 0.5000  6 Sm 2.92-2.95
Se 0.2037 0.2037 0.3170  5 Sm 2.94-3.02, 1 Ba 3.15
Se 0.3851 0.3851 0.1057  4 Sm 2.94-3.10, 2 Ba 3.19
Se 0.6149 0.6149 0.8943  4 Sm 2.94-3.10, 2 Ba 3.19
Se 0.7963 0.7963 0.6830  5 Sm 2.94-3.02, 1 Ba 3.15

[8]
## La2Tb3Ho8 (PBE)

Data for a relaxed La2Tb3Ho8 crystal.

Values from the calculation:
E_tot in Ry per atom: -0.3233
Space-group type: No. 65
DFT formation energy in eV per formula unit: 3.19

a b c (Å): 11.2200 11.2200 5.4964
angles (deg): 90.00 90.00 140.18
Closest atoms and distances in Å follow each position.
Sites, in units of the cell vectors:
La 0.2402 0.7598 0.0000  8 Ho 3.49-3.68, 2 La 3.84
La 0.7598 0.2402 0.0000  8 Ho 3.49-3.68, 2 La 3.84
Tb 0.0000 0.0000 0.0000  4 Ho 3.13
Tb 0.2901 0.2901 0.5000  3 Tb 3.21-3.53, 6 Ho 3.44-3.54
Tb 0.7099 0.7099 0.5000  3 Tb 3.21-3.53, 6 Ho 3.44-3.54
Ho 0.1244 0.8756 0.5000  4 Tb 3.44-3.80, 4 Ho 3.54, 2 La 3.68
Ho 0.1817 0.3927 0.0000  1 Tb 3.13, 3 Ho 3.25-3.38
Ho 0.3419 0.6581 0.5000  4 Ho 3.38, 2 La 3.49, 2 Tb 3.70
Ho 0.3927 0.1817 0.0000  1 Tb 3.13, 3 Ho 3.25-3.38
Ho 0.6073 0.8183 0.0000  1 Tb 3.13, 3 Ho 3.25-3.38
Ho 0.6581 0.3419 0.5000  4 Ho 3.38, 2 La 3.49, 2 Tb 3.70
Ho 0.8183 0.6073 0.0000  1 Tb 3.13, 3 Ho 3.25-3.38
Ho 0.8756 0.1244 0.5000  4 Tb 3.44-3.80, 4 Ho 3.54, 2 La 3.68